Record 1
An optimized crystal structure of HgTeSN2. Source: the Alexandria database, functional GGA-PBE.

It has space group P4/mmm (No. 123), with a = 3.9529 Å, b = 3.9529 Å, c = 5.7651 Å, α = 90.00°, β = 90.00° and γ = 90.00°. The distinct sites, in fractional coordinates, are Hg at (0.0000, 0.0000, 0.0000), Te at (0.5000, 0.5000, 0.5000), S at (0.5000, 0.5000, 0.0000) and N at (0.0000, 0.5000, 0.5000).

Its energy relative to the lowest polymorph listed for this composition is 0.00 eV per formula unit. The formation energy from raw total energies comes out at 1.28 eV per atom.


Record 2
An optimized crystal structure of NiGe. Source: the Alexandria database, functional GGA-PBE.

It has space group Pnma (No. 62), with a = 5.4618 Å, b = 3.4161 Å, c = 5.8731 Å, α = 90.00°, β = 90.00° and γ = 90.00°. The distinct sites, in fractional coordinates, are Ni at (0.0050, 0.2500, 0.1892) and Ge at (0.1896, 0.2500, 0.5841).

As for the formation energy: -310.0 meV per atom.


Record 3
An optimized crystal structure of CeUPS. Source: the Alexandria database, functional GGA-PBE.

It has space group R3m (No. 160, hexagonal axes), with a = 3.9518 Å, b = 3.9518 Å, c = 19.7417 Å, α = 90.00°, β = 90.00° and γ = 120.00°. The distinct sites, in fractional coordinates, are Ce at (0.0000, 0.0000, 0.0000), U at (0.0000, 0.0000, 0.5000), P at (0.0000, 0.0000, 0.2467) and S at (0.0000, 0.0000, 0.7534).

The formation energy from raw total energies comes out at -1.48 eV per atom.


Record 4
An optimized crystal structure of Rb2CeTlS4. Source: the Alexandria database, functional GGA-PBE.

It has space group P2/m (No. 10), with a = 7.4122 Å, b = 4.2114 Å, c = 8.0241 Å, α = 90.00°, β = 108.24° and γ = 90.00°. The distinct sites, in fractional coordinates, are Rb at (0.0000, 0.0000, 0.0000), Rb at (0.5000, 0.5000, 0.0000), Ce at (0.0000, 0.5000, 0.5000), Tl at (0.5000, 0.0000, 0.5000), S at (0.2097, 0.0000, 0.6963) and S at (0.2449, 0.5000, 0.3058).

The formation energy from raw total energies comes out at -1.18 eV per atom.


Record 5
An optimized crystal structure of AcSm2Tm5. Source: the Alexandria database, functional GGA-PBE.

It has space group Pbam (No. 55), with a = 7.1634 Å, b = 14.3304 Å, c = 10.1711 Å, α = 90.00°, β = 90.00° and γ = 90.00°. The distinct sites, in fractional coordinates, are Ac at (0.2441, 0.1284, 0.0000), Sm at (0.0000, 0.5000, 0.2552), Sm at (0.2472, 0.1243, 0.5000), Tm at (0.0000, 0.0000, 0.2570), Tm at (0.0047, 0.7508, 0.2590), Tm at (0.2450, 0.3767, 0.0000) and Tm at (0.2472, 0.3745, 0.5000).

As for the formation energy: 46.6 meV per atom.


Record 6
An optimized crystal structure of CdIn2P. Source: the Alexandria database, functional GGA-PBE.

It has space group C2/m (No. 12), with a = 6.3269 Å, b = 9.3703 Å, c = 3.1249 Å, α = 90.00°, β = 90.13° and γ = 90.00°. The distinct sites, in fractional coordinates, are Cd at (0.0000, 0.0000, 0.0000), In at (0.2500, 0.2500, 0.5000) and P at (0.0000, 0.5000, 0.0000).

Its energy relative to the lowest polymorph listed for this composition is 1.00 eV per formula unit. As for the formation energy: 268.5 meV per atom.


Record 7
An optimized crystal structure of KRh2Se. Source: the Alexandria database, functional GGA-PBE.

It has space group F-43m (No. 216), with a = 6.7152 Å, b = 6.7152 Å, c = 6.7152 Å, α = 90.00°, β = 90.00° and γ = 90.00°. The distinct sites, in fractional coordinates, are K at (0.0000, 0.0000, 0.0000), Rh at (0.0000, 0.0000, 0.5000), Rh at (0.2500, 0.2500, 0.2500) and Se at (0.2500, 0.2500, 0.7500).

The formation energy from raw total energies comes out at 0.56 eV per atom.


Record 8
An optimized crystal structure of Sc3CrTc. Source: the Alexandria database, functional GGA-PBE.

It has space group Pm-3m (No. 221), with a = 4.9798 Å, b = 4.9798 Å, c = 4.9798 Å, α = 90.00°, β = 90.00° and γ = 90.00°. The distinct sites, in fractional coordinates, are Sc at (0.0000, 0.0000, 0.5000), Cr at (0.5000, 0.5000, 0.5000) and Tc at (0.0000, 0.0000, 0.0000).

Its energy relative to the lowest polymorph listed for this composition is 0.00 eV per formula unit. As for the formation energy: 455.2 meV per atom.


Record 9
An optimized crystal structure of ThBe5Rh. Source: the Alexandria database, functional GGA-PBE.

It has space group Pnma (No. 62), with a = 7.6936 Å, b = 4.5985 Å, c = 9.8222 Å, α = 90.00°, β = 90.00° and γ = 90.00°. The distinct sites, in fractional coordinates, are Th at (0.2251, 0.2500, 0.0627), Be at (0.0317, 0.7500, 0.1369), Be at (0.0589, 0.0053, 0.3184), Be at (0.0774, 0.2500, 0.5122), Be at (0.2023, 0.2500, 0.7478) and Rh at (0.1407, 0.7500, 0.8535).

As for the formation energy: -296.6 meV per atom.


Record 10
An optimized crystal structure of TbPm2SnN4. Source: the Alexandria database, functional GGA-PBE.

It has space group P2/m (No. 10), with a = 6.1159 Å, b = 3.5539 Å, c = 6.1712 Å, α = 90.00°, β = 109.96° and γ = 90.00°. The distinct sites, in fractional coordinates, are Tb at (0.0000, 0.0000, 0.0000), Pm at (0.5000, 0.0000, 0.5000), Pm at (0.5000, 0.5000, 0.0000), Sn at (0.0000, 0.5000, 0.5000), N at (0.2463, 0.0000, 0.7532) and N at (0.2484, 0.5000, 0.2410).

The formation energy from raw total energies comes out at -0.94 eV per atom.


Record 11
An optimized crystal structure of Cd4CoSb. Source: the Alexandria database, functional GGA-PBE.

It has space group F-43m (No. 216), with a = 8.0586 Å, b = 8.0586 Å, c = 8.0586 Å, α = 90.00°, β = 90.00° and γ = 90.00°. The distinct sites, in fractional coordinates, are Cd at (0.1242, 0.1242, 0.1242), Co at (0.2500, 0.2500, 0.7500) and Sb at (0.0000, 0.0000, 0.5000).

The formation energy from raw total energies comes out at 0.46 eV per atom.


Record 12
An optimized crystal structure of Ca2ScCd. Source: the Alexandria database, functional GGA-PBE.

It has space group Immm (No. 71), with a = 4.0124 Å, b = 5.3850 Å, c = 11.0247 Å, α = 90.00°, β = 90.00° and γ = 90.00°. The distinct sites, in fractional coordinates, are Ca at (0.0000, 0.0000, 0.2241), Sc at (0.0000, 0.5000, 0.0000) and Cd at (0.0000, 0.5000, 0.5000).

As for the formation energy: 29.6 meV per atom.


Record 13
An optimized crystal structure of AsC3. Source: the Alexandria database, functional GGA-PBE.

It has space group Amm2 (No. 38), with a = 3.1562 Å, b = 2.4912 Å, c = 10.1880 Å, α = 90.00°, β = 90.00° and γ = 90.00°. The distinct sites, in fractional coordinates, are As at (0.0000, 0.0000, 0.0000), C at (0.5000, 0.0000, 0.1576), C at (0.5000, 0.0000, 0.7288) and C at (0.5000, 0.0000, 0.8688).

Its energy relative to the lowest polymorph listed for this composition is 1.04 eV per formula unit. As for the formation energy: 1022.6 meV per atom.


Record 14
An optimized crystal structure of Pm6Tm4Pu. Source: the Alexandria database, functional GGA-PBE.

It has space group Cmcm (No. 63), with a = 3.5444 Å, b = 23.1797 Å, c = 17.5905 Å, α = 90.00°, β = 90.00° and γ = 90.00°. The distinct sites, in fractional coordinates, are Pm at (0.0000, 0.0000, 0.0000), Pm at (0.0000, 0.2468, 0.2500), Pm at (0.0000, 0.2582, 0.5830), Pm at (0.0000, 0.4855, 0.1618), Tm at (0.0000, 0.1163, 0.1398), Tm at (0.0000, 0.3708, 0.0432) and Pu at (0.0000, 0.1296, 0.7500).

As for the formation energy: 182.6 meV per atom.


Record 15
An optimized crystal structure of Pm2Al4ZnIr3. Source: the Alexandria database, functional GGA-PBE.

It has space group P-4m2 (No. 115), with a = 4.1624 Å, b = 4.1624 Å, c = 10.8291 Å, α = 90.00°, β = 90.00° and γ = 90.00°. The distinct sites, in fractional coordinates, are Pm at (0.0000, 0.5000, 0.2459), Al at (0.0000, 0.0000, 0.0000), Al at (0.0000, 0.5000, 0.6328), Al at (0.5000, 0.5000, 0.0000), Zn at (0.0000, 0.0000, 0.5000), Ir at (0.0000, 0.5000, 0.8661) and Ir at (0.5000, 0.5000, 0.5000).

As for the formation energy: -737.9 meV per atom.


Record 16
An optimized crystal structure of DyPa5C6. Source: the Alexandria database, functional GGA-PBE.

It has space group C2/m (No. 12), with a = 6.2345 Å, b = 10.8090 Å, c = 6.2442 Å, α = 90.00°, β = 109.45° and γ = 90.00°. The distinct sites, in fractional coordinates, are Dy at (0.0000, 0.0000, 0.0000), Pa at (0.0000, 0.1655, 0.5000), Pa at (0.0000, 0.3329, 0.0000), Pa at (0.0000, 0.5000, 0.5000), C at (0.2356, 0.5000, 0.2529) and C at (0.2412, 0.3265, 0.7421).

As for the formation energy: -431.5 meV per atom.


Record 17
An optimized crystal structure of NaZnBi3. Source: the Alexandria database, functional GGA-PBE.

It has space group P2_1/m (No. 11), with a = 6.5362 Å, b = 6.8740 Å, c = 6.7010 Å, α = 90.00°, β = 92.82° and γ = 90.00°. The distinct sites, in fractional coordinates, are Na at (0.1220, 0.2500, 0.3764), Zn at (0.2973, 0.7500, 0.3990), Bi at (0.0138, 0.2500, 0.8961) and Bi at (0.3910, 0.5098, 0.7529).

Its energy relative to the lowest polymorph listed for this composition is 0.00 eV per formula unit. As for the formation energy: -45.0 meV per atom.


Record 18
An optimized crystal structure of YCuOs2. Source: the Alexandria database, functional GGA-PBE.

It has space group Cmmm (No. 65), with a = 5.3667 Å, b = 8.2548 Å, c = 3.0323 Å, α = 90.00°, β = 90.00° and γ = 90.00°. The distinct sites, in fractional coordinates, are Y at (0.0000, 0.0000, 0.0000), Cu at (0.0000, 0.5000, 0.0000) and Os at (0.2500, 0.2500, 0.5000).

Its energy relative to the lowest polymorph listed for this composition is 1.45 eV per formula unit. As for the formation energy: 537.2 meV per atom.


Record 19
An optimized crystal structure of CaMoSCl2. Source: the Alexandria database, functional GGA-PBE.

It has space group P4/mmm (No. 123), with a = 4.9725 Å, b = 4.9725 Å, c = 4.6089 Å, α = 90.00°, β = 90.00° and γ = 90.00°. The distinct sites, in fractional coordinates, are Ca at (0.0000, 0.0000, 0.0000), Mo at (0.5000, 0.5000, 0.5000), S at (0.5000, 0.5000, 0.0000) and Cl at (0.0000, 0.5000, 0.5000).

Its energy relative to the lowest polymorph listed for this composition is 0.00 eV per formula unit. The formation energy from raw total energies comes out at -0.72 eV per atom.


Record 20
An optimized crystal structure of Sr3Cd7Pb4. Source: the Alexandria database, functional GGA-PBE.

It has space group C2/m (No. 12), with a = 18.0981 Å, b = 5.0526 Å, c = 10.9645 Å, α = 90.00°, β = 126.54° and γ = 90.00°. The distinct sites, in fractional coordinates, are Sr at (0.0000, 0.0000, 0.0000), Sr at (0.2067, 0.5000, 0.7036), Cd at (0.0000, 0.0000, 0.5000), Cd at (0.0016, 0.5000, 0.3390), Cd at (0.1356, 0.0000, 0.4262), Cd at (0.1411, 0.5000, 0.0037), Pb at (0.1487, 0.0000, 0.8632) and Pb at (0.1557, 0.5000, 0.2903).

As for the formation energy: -283.7 meV per atom.


| no. | calculated density (g cm⁻³) |
| --- | --- |
| 1 | 7.2 |
| 2 | 8.0 |
| 3 | 8.2 |
| 4 | 4.5 |
| 5 | 8.7 |
| 6 | 6.7 |
| 7 | 7.1 |
| 8 | 3.8 |
| 9 | 7.3 |
| 10 | 8.2 |
| 11 | 8.0 |
| 12 | 3.3 |
| 13 | 4.6 |
| 14 | 8.2 |
| 15 | 9.2 |
| 16 | 11.6 |
| 17 | 7.9 |
| 18 | 13.2 |
| 19 | 3.5 |
| 20 | 7.7 |